Entry 1:
DFT (PBE) results for an optimized crystal structure of Zr2ZnCl2.

Summary:
The crystal system is tetragonal. The calculation puts the excess energy over the best structure of this formula in the dataset at 0.062 eV per atom. The uncorrected formation energy comes out at -0.290 eV per atom.

a = 7.8640 Å, b = 7.8640 Å, c = 3.0248 Å
α = 90.00°, β = 90.00°, γ = 90.00°
Element x y z (fractional)
Zr 0.1775 0.3225 0.0000
Zr 0.3225 0.8225 0.0000
Zr 0.6775 0.1775 0.0000
Zr 0.8225 0.6775 0.0000
Zn 0.0000 0.0000 0.5000
Zn 0.5000 0.5000 0.5000
Cl 0.1247 0.6247 0.5000
Cl 0.3753 0.1247 0.5000
Cl 0.6247 0.8753 0.5000
Cl 0.8753 0.3753 0.5000

=====

Entry 2:
DFT (PBE) results for an optimized crystal structure of RbZrCu2F8.

Summary:
The crystal system is trigonal. The uncorrected formation energy comes out at -2.463 eV per atom.

a = 9.0445 Å, b = 9.0445 Å, c = 9.0445 Å
α = 33.16°, β = 33.16°, γ = 33.16°
Element x y z (fractional)
Rb 0.0000 0.0000 0.0000
Zr 0.5000 0.5000 0.5000
Cu 0.2621 0.2621 0.2621
Cu 0.7379 0.7379 0.7379
F 0.1298 0.4719 0.7473
F 0.2527 0.5281 0.8702
F 0.3341 0.3341 0.3341
F 0.4719 0.7472 0.1298
F 0.5281 0.8702 0.2527
F 0.6659 0.6659 0.6659
F 0.7473 0.1298 0.4719
F 0.8702 0.2527 0.5281